1.
Below is a relaxed structure of La2Be3FeNi12, with properties calculated at the PBE level.

Calculated values
Energy relative to the elements (eV/atom): 0.234
Total energy (eV/cell): -283.984
Density (Mg/m³): 6.74

abc: 7.3246 7.3246 16.9365
angles: 90.00 90.00 120.00
Space group R-3m (No. 166, hexagonal axes)
Asymmetric unit:
La  0.0000  0.0000  0.1107 x6
Be  0.0000  0.5000  0.0000 x9
Fe  0.0000  0.0000  0.5000 x3
Ni  0.0051  0.5026  0.8775 x18
Ni  0.0406  0.5203  0.3664 x18

---

2.
Below is a relaxed structure of KTaTi2O8, with properties calculated at the PBE level.

Calculated values
Raw formation energy (eV/atom): -2.426
Total energy (eV/cell): -195.030
Density (Mg/m³): 4.60

abc: 6.912 6.404 7.294
angles: 90.00 97.53 90.00
Space group C2/m (No. 12)
Asymmetric unit:
K  0.000  0.000  0.000 x2
Ta  0.000  0.000  0.500 x2
Ti  0.025  0.500  0.297 x4
O  0.040  0.214  0.697 x8
O  0.101  0.500  0.048 x4
O  0.203  0.500  0.506 x4

---

3.
Below is a relaxed structure of ScCuMo2, with properties calculated at the PBE level.

Calculated values
Energy relative to the elements (eV/atom): 0.199
Total energy (eV/cell): -31.294
Density (Mg/m³): 7.60

abc: 2.770 4.783 5.009
angles: 90.00 98.40 90.00
Space group P2/m (No. 10)
Asymmetric unit:
Sc  0.000  0.000  0.000 x1
Cu  0.500  0.000  0.500 x1
Mo  0.323  0.500  0.755 x2

---

4.
Below is a relaxed structure of MnFeP2Cl, with properties calculated at the PBE level.

Calculated values
Raw formation energy (eV/atom): 0.942
Total energy (eV/cell): -25.588
Density (Mg/m³): 4.02

abc: 4.240 4.240 4.786
angles: 90.00 90.00 90.00
Space group P4/mmm (No. 123)
Asymmetric unit:
Mn  0.000  0.000  0.000 x1
Fe  0.500  0.500  0.500 x1
P  0.000  0.500  0.500 x2
Cl  0.500  0.500  0.000 x1

---

5.
Below is a relaxed structure of Dy6Sn2Os, with properties calculated at the PBE level.

Calculated values
Energy relative to the elements (eV/atom): -0.354
Total energy (eV/cell): -100.071
Density (Mg/m³): 8.52

abc: 5.101 7.155 14.980
angles: 90.00 90.00 90.00
Space group Immm (No. 71)
Asymmetric unit:
Dy  0.000  0.225  0.000 x4
Dy  0.000  0.260  0.349 x8
Sn  0.000  0.500  0.172 x4
Os  0.000  0.500  0.500 x2

---

6.
Below is a relaxed structure of Ca2YHfS, with properties calculated at the PBE level.

Calculated values
Raw formation energy (eV/atom): 0.733
Total energy (eV/cell): -20.884
Density (Mg/m³): 3.23

abc: 6.304 6.304 4.914
angles: 90.00 90.00 90.00
Space group P4/mmm (No. 123)
Asymmetric unit:
Ca  0.000  0.500  0.000 x2
Y  0.000  0.000  0.000 x1
Hf  0.500  0.500  0.500 x1
S  0.000  0.000  0.500 x1

---

7.
Below is a relaxed structure of RbSbBr6, with properties calculated at the PBE level.

Calculated values
Raw formation energy (eV/atom): -0.734
Total energy (eV/cell): -20.997
Density (Mg/m³): 3.54

abc: 7.366 7.413 7.990
angles: 90.47 117.02 119.73
Space group P-1 (No. 2)
Asymmetric unit:
Rb  0.000  0.000  0.000 x1
Sb  0.000  0.500  0.500 x1
Br  0.184  0.518  0.284 x2
Br  0.235  0.341  0.721 x2
Br  0.377  0.895  0.722 x2

---

8.
Below is a relaxed structure of Tl3Ga12Sb5, with properties calculated at the PBE level.

Calculated values
Raw formation energy (eV/atom): 0.160
Total energy (eV/cell): -486.670
Density (Mg/m³): 6.06

abc: 16.524 16.524 16.524
angles: 90.00 90.00 90.00
Space group Ia-3d (No. 230)
Asymmetric unit:
Tl  0.000  0.250  0.125 x24
Ga  0.014  0.079  0.655 x96
Sb  0.000  0.000  0.000 x16
Sb  0.000  0.250  0.375 x24

---

9.
Below is a relaxed structure of UCoTcGe, with properties calculated at the PBE level.

Calculated values
Energy relative to the elements (eV/atom): -0.073
Total energy (eV/cell): -134.679
Density (Mg/m³): 12.05

abc: 6.365 6.365 6.365
angles: 90.00 90.00 90.00
Space group F-43m (No. 216)
Asymmetric unit:
U  0.000  0.000  0.000 x4
Co  0.250  0.250  0.750 x4
Tc  0.250  0.250  0.250 x4
Ge  0.000  0.000  0.500 x4

---

10.
Below is a relaxed structure of BaYFe, with properties calculated at the PBE level.

Calculated values
Energy relative to the elements (eV/atom): 0.676
Total energy (eV/cell): -59.291
Density (Mg/m³): 5.03

abc: 7.195 7.195 7.195
angles: 90.00 90.00 90.00
Space group F-43m (No. 216)
Asymmetric unit:
Ba  0.000  0.000  0.000 x4
Y  0.000  0.000  0.500 x4
Fe  0.250  0.250  0.750 x4

---

11.
Below is a relaxed structure of Th5AsSe4, with properties calculated at the PBE level.

Calculated values
Raw formation energy (eV/atom): -1.528
Total energy (eV/cell): -141.943
Density (Mg/m³): 9.73

abc: 4.253 5.963 20.868
angles: 90.00 90.00 90.00
Space group Immm (No. 71)
Asymmetric unit:
Th  0.000  0.000  0.000 x2
Th  0.000  0.000  0.200 x4
Th  0.000  0.000  0.401 x4
As  0.000  0.500  0.000 x2
Se  0.000  0.500  0.200 x4
Se  0.000  0.500  0.400 x4

---

12.
Below is a relaxed structure of Cs2CeBiS5, with properties calculated at the PBE level.

Calculated values
Raw formation energy (eV/atom): -1.027
Total energy (eV/cell): -165.602
Density (Mg/m³): 3.94

abc: 4.450 19.957 14.732
angles: 90.00 90.00 90.00
Space group Cmc2_1 (No. 36)
Asymmetric unit:
Cs  0.000  0.120  0.000 x4
Cs  0.000  0.137  0.644 x4
Ce  0.000  0.208  0.352 x4
Bi  0.000  0.442  0.762 x4
S  0.000  0.056  0.359 x4
S  0.000  0.300  0.960 x4
S  0.000  0.317  0.723 x4
S  0.000  0.331  0.326 x4
S  0.000  0.498  0.614 x4

---

13.
Below is a relaxed structure of Sm3AgHg, with properties calculated at the PBE level.

Calculated values
Energy relative to the elements (eV/atom): -0.072
Total energy (eV/cell): -70.690
Density (Mg/m³): 8.11

abc: 9.807 16.786 3.780
angles: 90.00 90.00 90.00
Space group C2 (No. 5)
Asymmetric unit:
Sm  0.000  0.000  0.000 x2
Sm  0.000  0.301  0.000 x2
Sm  0.194  0.543  0.499 x4
Sm  0.194  0.757  0.501 x4
Ag  0.250  0.400  0.999 x4
Hg  0.000  0.150  0.500 x2
Hg  0.000  0.650  0.000 x2

---

14.
Below is a relaxed structure of Li4Mg2In3, with properties calculated at the PBE level.

Calculated values
Energy relative to the elements (eV/atom): -0.185
Total energy (eV/cell): -82.894
Density (Mg/m³): 3.77

abc: 13.904 10.453 5.173
angles: 90.00 99.20 90.00
Space group C2/c (No. 15)
Asymmetric unit:
Li  0.053  0.127  0.028 x8
Li  0.110  0.368  0.303 x8
Mg  0.221  0.382  0.865 x8
In  0.000  0.386  0.750 x4
In  0.161  0.128  0.580 x8

---

15.
Below is a relaxed structure of RbScCo2I, with properties calculated at the PBE level.

Calculated values
Raw formation energy (eV/atom): 1.799
Total energy (eV/cell): -14.068
Density (Mg/m³): 4.86

abc: 4.597 4.597 6.069
angles: 90.00 90.00 90.00
Space group P4/mmm (No. 123)
Asymmetric unit:
Rb  0.000  0.000  0.000 x1
Sc  0.500  0.500  0.500 x1
Co  0.000  0.500  0.000 x2
I  0.000  0.000  0.500 x1

---

16.
Below is a relaxed structure of RbBiH2Pt, with properties calculated at the PBE level.

Calculated values
Total energy (eV/cell): -12.769
Density (Mg/m³): 6.08

abc: 4.077 4.077 8.080
angles: 90.00 90.00 90.00
Space group P4/mmm (No. 123)
Asymmetric unit:
Rb  0.000  0.000  0.000 x1
Bi  0.000  0.000  0.500 x1
H  0.000  0.500  0.000 x2
Pt  0.500  0.500  0.500 x1

---

17.
Below is a relaxed structure of CaSmInPb, with properties calculated at the PBE level.

Calculated values
Energy relative to the elements (eV/atom): -0.448
Total energy (eV/cell): -59.845
Density (Mg/m³): 7.26

abc: 7.770 7.770 7.770
angles: 90.00 90.00 90.00
Space group F-43m (No. 216)
Asymmetric unit:
Ca  0.000  0.000  0.000 x4
Sm  0.000  0.000  0.500 x4
In  0.250  0.250  0.750 x4
Pb  0.250  0.250  0.250 x4

---

18.
Below is a relaxed structure of SrCaAg2, with properties calculated at the PBE level.

Calculated values
Energy relative to the elements (eV/atom): -0.277
Total energy (eV/cell): -10.494
Density (Mg/m³): 5.09

abc: 5.403 5.403 3.836
angles: 90.00 90.00 90.00
Space group P4/mmm (No. 123)
Asymmetric unit:
Sr  0.000  0.000  0.000 x1
Ca  0.500  0.500  0.000 x1
Ag  0.000  0.500  0.500 x2

---

19.
Below is a relaxed structure of BaCo2Ag, with properties calculated at the PBE level.

Calculated values
Energy relative to the elements (eV/atom): 0.463
Total energy (eV/cell): -34.266
Density (Mg/m³): 6.62

abc: 3.814 4.143 11.523
angles: 90.00 90.00 90.00
Space group Amm2 (No. 38)
Asymmetric unit:
Ba  0.000  0.000  0.000 x2
Co  0.000  0.000  0.270 x2
Co  0.500  0.000  0.365 x2
Ag  0.500  0.000  0.722 x2

---

20.
Below is a relaxed structure of NdGa2Ir2Pt, with properties calculated at the PBE level.

Calculated values
Energy relative to the elements (eV/atom): -0.186
Total energy (eV/cell): -35.701
Density (Mg/m³): 11.80

abc: 4.678 4.678 5.553
angles: 90.00 90.00 90.00
Space group P4/mmm (No. 123)
Asymmetric unit:
Nd  0.000  0.000  0.000 x1
Ga  0.000  0.500  0.500 x2
Ir  0.500  0.500  0.230 x2
Pt  0.000  0.000  0.500 x1

---

21.
Below is a relaxed structure of BeFeIr2, with properties calculated at the PBE level.

Calculated values
Energy relative to the elements (eV/atom): -0.129
Total energy (eV/cell): -30.425
Density (Mg/m³): 15.38

abc: 2.676 3.875 4.865
angles: 90.00 105.95 90.00
Space group Pm (No. 6)
Asymmetric unit:
Be  0.000  0.000  0.000 x1
Fe  0.138  0.500  0.270 x1
Ir  0.408  0.500  0.810 x1
Ir  0.743  0.000  0.481 x1